No. 1
! GGA-PBE SrHg4Au, relaxed; values from VASP
&SYSTEM
  ibrav = 0, nat = 12, ntyp = 3
/
ATOMIC_SPECIES
Sr 87.62 Sr.upf
Hg 200.59 Hg.upf
Au 196.97 Au.upf
CELL_PARAMETERS angstrom
7.377 -4.087 0.000
7.377 4.087 0.000
-1.490 0.000 5.373
ATOMIC_POSITIONS crystal
Sr 0.209 0.209 0.148
Sr 0.791 0.791 0.852
Hg 0.064 0.692 0.422
Hg 0.207 0.793 0.000
Hg 0.308 0.936 0.578
Hg 0.346 0.346 0.740
Hg 0.654 0.654 0.260
Hg 0.692 0.064 0.422
Hg 0.793 0.207 0.000
Hg 0.936 0.308 0.578
Au 0.433 0.433 0.263
Au 0.567 0.567 0.737
! * total DFT energy (no corrections): -0.0477 hartree per atom
! * offset from the most stable computed form: 0.258 eV per formula unit

---

No. 2
! GGA-PBE Sr2Hg5Au3, relaxed; values from VASP
&SYSTEM
  ibrav = 0, nat = 20, ntyp = 3
/
ATOMIC_SPECIES
Sr 87.62 Sr.upf
Hg 200.59 Hg.upf
Au 196.97 Au.upf
CELL_PARAMETERS angstrom
2.395 -13.716 0.000
2.395 13.716 0.000
0.000 0.000 7.871
ATOMIC_POSITIONS crystal
Sr 0.023 0.977 0.500
Sr 0.321 0.679 0.429
Sr 0.679 0.321 0.929
Sr 0.977 0.023 0.000
Hg 0.101 0.899 0.139
Hg 0.205 0.795 0.222
Hg 0.206 0.794 0.623
Hg 0.379 0.621 0.985
Hg 0.447 0.553 0.330
Hg 0.553 0.447 0.830
Hg 0.621 0.379 0.485
Hg 0.794 0.206 0.123
Hg 0.795 0.205 0.722
Hg 0.899 0.101 0.639
Au 0.111 0.889 0.762
Au 0.271 0.729 0.921
Au 0.454 0.546 0.716
Au 0.546 0.454 0.216
Au 0.729 0.271 0.421
Au 0.889 0.111 0.262
! * total DFT energy (no corrections): -0.0693 hartree per atom
! * offset from the most stable computed form: 0.000 eV per formula unit

---

No. 3
! GGA-PBE Sr2HgAu, relaxed; values from VASP
&SYSTEM
  ibrav = 0, nat = 4, ntyp = 3
/
ATOMIC_SPECIES
Sr 87.62 Sr.upf
Hg 200.59 Hg.upf
Au 196.97 Au.upf
CELL_PARAMETERS angstrom
4.625 0.000 0.000
0.000 4.635 0.000
0.000 0.000 6.537
ATOMIC_POSITIONS crystal
Sr 0.000 0.000 0.000
Sr 0.500 0.500 0.500
Hg 0.000 0.000 0.500
Au 0.500 0.500 0.000
! * total DFT energy (no corrections): -0.0839 hartree per atom

---

No. 4
! GGA-PBE Sr2HgAu, relaxed; values from VASP
&SYSTEM
  ibrav = 0, nat = 4, ntyp = 3
/
ATOMIC_SPECIES
Sr 87.62 Sr.upf
Hg 200.59 Hg.upf
Au 196.97 Au.upf
CELL_PARAMETERS angstrom
3.943 -2.282 0.000
3.943 2.282 0.000
-2.631 0.000 7.819
ATOMIC_POSITIONS crystal
Sr 0.242 0.242 0.226
Sr 0.758 0.758 0.774
Hg 0.000 0.000 0.500
Au 0.500 0.500 0.000
! * total DFT energy (no corrections): -0.0851 hartree per atom

---

No. 5
! GGA-PBE Sr6HgAu2, relaxed; values from VASP
&SYSTEM
  ibrav = 0, nat = 18, ntyp = 3
/
ATOMIC_SPECIES
Sr 87.62 Sr.upf
Hg 200.59 Hg.upf
Au 196.97 Au.upf
CELL_PARAMETERS angstrom
-5.183 5.503 5.912
5.183 -5.503 5.912
5.183 5.503 -5.912
ATOMIC_POSITIONS crystal
Sr 0.049 0.241 0.808
Sr 0.175 0.283 0.458
Sr 0.175 0.717 0.892
Sr 0.338 0.027 0.689
Sr 0.338 0.648 0.311
Sr 0.433 0.241 0.192
Sr 0.567 0.759 0.808
Sr 0.662 0.352 0.689
Sr 0.662 0.973 0.311
Sr 0.825 0.283 0.108
Sr 0.825 0.717 0.542
Sr 0.951 0.759 0.192
Hg 0.000 0.000 0.000
Hg 0.500 0.500 0.000
Au 0.128 0.628 0.500
Au 0.330 0.000 0.330
Au 0.670 0.000 0.670
Au 0.872 0.372 0.500
! * total DFT energy (no corrections): -0.0868 hartree per atom

---

No. 6
! GGA-PBE Sr2HgAu, relaxed; values from VASP
&SYSTEM
  ibrav = 0, nat = 4, ntyp = 3
/
ATOMIC_SPECIES
Sr 87.62 Sr.upf
Hg 200.59 Hg.upf
Au 196.97 Au.upf
CELL_PARAMETERS angstrom
0.000 3.788 3.788
3.788 0.000 3.788
3.788 3.788 0.000
ATOMIC_POSITIONS crystal
Sr 0.000 0.000 0.000
Sr 0.250 0.250 0.250
Hg 0.750 0.750 0.750
Au 0.500 0.500 0.500
! * total DFT energy (no corrections): -0.0760 hartree per atom

---

No. 7
! GGA-PBE Sr5Hg2Au, relaxed; values from VASP
&SYSTEM
  ibrav = 0, nat = 16, ntyp = 3
/
ATOMIC_SPECIES
Sr 87.62 Sr.upf
Hg 200.59 Hg.upf
Au 196.97 Au.upf
CELL_PARAMETERS angstrom
9.278 0.000 0.000
0.000 13.901 0.000
0.000 0.000 4.732
ATOMIC_POSITIONS crystal
Sr 0.000 0.000 0.000
Sr 0.162 0.303 0.000
Sr 0.177 0.588 0.500
Sr 0.323 0.088 0.500
Sr 0.338 0.803 0.000
Sr 0.500 0.500 0.000
Sr 0.662 0.197 0.000
Sr 0.677 0.912 0.500
Sr 0.823 0.412 0.500
Sr 0.838 0.697 0.000
Hg 0.049 0.826 0.500
Hg 0.451 0.326 0.500
Hg 0.549 0.674 0.500
Hg 0.951 0.174 0.500
Au 0.000 0.500 0.000
Au 0.500 0.000 0.000
! * total DFT energy (no corrections): -0.0741 hartree per atom

---

No. 8
! GGA-PBE SrHg2Au6, relaxed; values from VASP
&SYSTEM
  ibrav = 0, nat = 18, ntyp = 3
/
ATOMIC_SPECIES
Sr 87.62 Sr.upf
Hg 200.59 Hg.upf
Au 196.97 Au.upf
CELL_PARAMETERS angstrom
0.000 6.227 6.227
6.227 0.000 6.227
6.227 6.227 0.000
ATOMIC_POSITIONS crystal
Sr 0.125 0.125 0.125
Sr 0.875 0.875 0.875
Hg 0.000 0.500 0.500
Hg 0.500 0.000 0.500
Hg 0.500 0.500 0.000
Hg 0.500 0.500 0.500
Au 0.118 0.118 0.632
Au 0.118 0.632 0.118
Au 0.118 0.632 0.632
Au 0.368 0.368 0.882
Au 0.368 0.882 0.368
Au 0.368 0.882 0.882
Au 0.632 0.118 0.118
Au 0.632 0.118 0.632
Au 0.632 0.632 0.118
Au 0.882 0.368 0.368
Au 0.882 0.368 0.882
Au 0.882 0.882 0.368
! * total DFT energy (no corrections): -0.0866 hartree per atom

---

no.,ρ (Mg/m³)
1,11.1
2,11.4
3,6.8
4,6.8
5,5.5
6,8.7
7,5.6
8,11.5